# 1
# CaMnCo

An optimized crystal structure of CaMnCo (PBEsol, Alexandria).

Output
Total moment = 0.01 μB per formula unit
E above lowest polymorph = 41 meV per atom
Energy relative to the elements = 0.43 eV/atom
Space-group type = P-6m2

```
CaMnCo
1.0
3.649 0.000 0.000
-1.825 3.161 0.000
0.000 0.000 4.597
Ca Mn Co
1 1 1
Direct
0.000 0.000 0.000
0.667 0.333 0.500
0.333 0.667 0.500
```

***

# 2
# FeAs2O

An optimized crystal structure of FeAs2O (PBEsol, Alexandria).

Output
Total moment = 3.14 μB per formula unit
Space-group type = I-42d
Energy relative to the elements, uncorrected = 0.32 eV/atom

```
FeAs2O
1.0
-1.779 1.779 8.926
1.779 -1.779 8.926
1.779 1.779 -8.926
Fe As O
2 4 2
Direct
0.000 0.000 0.000
0.750 0.250 0.500
0.134 0.625 0.009
0.375 0.384 0.509
0.616 0.125 0.991
0.875 0.866 0.491
0.250 0.750 0.500
0.500 0.500 0.000
```

***

# 3
# Mg2MnBr

An optimized crystal structure of Mg2MnBr (PBEsol, Alexandria).

Output
Total moment = 4.14 μB per formula unit
E above lowest polymorph = 287 meV per atom
Space-group type = I-4m2
Energy relative to the elements, uncorrected = 0.23 eV/atom

```
Mg2MnBr
1.0
-2.034 2.034 5.159
2.034 -2.034 5.159
2.034 2.034 -5.159
Mg Mn Br
2 1 1
Direct
0.000 0.000 0.000
0.750 0.250 0.500
0.500 0.500 0.000
0.250 0.750 0.500
```

***

# 4
# CdHgAu2

An optimized crystal structure of CdHgAu2 (PBEsol, Alexandria).

Output
Total moment = 0.00 μB per formula unit
Energy relative to the elements = -0.07 eV/atom
Space-group type = I-4m2

```
CdHgAu2
1.0
-2.059 2.059 4.346
2.059 -2.059 4.346
2.059 2.059 -4.346
Cd Hg Au
1 1 2
Direct
0.000 0.000 0.000
0.750 0.250 0.500
0.250 0.750 0.500
0.500 0.500 0.000
```

***

# 5
# NbAs3Cl

An optimized crystal structure of NbAs3Cl (PBEsol, Alexandria).

Output
Total moment = 1.52 μB per formula unit
Space-group type = Pm-3m
Energy relative to the elements, uncorrected = 1.09 eV/atom

```
NbAs3Cl
1.0
4.665 0.000 0.000
0.000 4.665 0.000
0.000 0.000 4.665
Nb As Cl
1 3 1
Direct
0.000 0.000 0.000
0.000 0.500 0.500
0.500 0.000 0.500
0.500 0.500 0.000
0.500 0.500 0.500
```

***

# 6
# K6Pd3Br4Cl8

An optimized crystal structure of K6Pd3Br4Cl8 (PBEsol, Alexandria).

Output
Total moment = 0.00 μB per formula unit
Space-group type = Amm2
Energy relative to the elements, uncorrected = -1.29 eV/atom

```
K6Pd3Br4Cl8
1.0
4.136 0.000 0.000
0.000 15.571 4.822
0.000 -15.571 4.822
K Pd Br Cl
6 3 4 8
Direct
0.000 0.084 0.915
0.000 0.248 0.739
0.000 0.413 0.587
0.000 0.587 0.413
0.000 0.739 0.248
0.000 0.915 0.084
0.500 0.251 0.251
0.500 0.580 0.915
0.500 0.915 0.580
0.500 0.167 0.829
0.500 0.501 0.501
0.500 0.829 0.167
0.500 0.999 0.999
0.500 0.177 0.324
0.500 0.324 0.177
0.500 0.342 0.675
0.500 0.504 0.986
0.500 0.656 0.844
0.500 0.675 0.342
0.500 0.844 0.656
0.500 0.986 0.504
```

***

# 7
# LiZn2Pt

An optimized crystal structure of LiZn2Pt (PBEsol, Alexandria).

Output
Total moment = 0.00 μB per formula unit
Energy relative to the elements = -0.54 eV/atom
Space-group type = Fm-3m

```
LiZn2Pt
1.0
0.000 3.007 3.007
3.007 0.000 3.007
3.007 3.007 0.000
Li Zn Pt
1 2 1
Direct
0.000 0.000 0.000
0.250 0.250 0.250
0.750 0.750 0.750
0.500 0.500 0.500
```

***

# 8
# K2RhCl

An optimized crystal structure of K2RhCl (PBEsol, Alexandria).

Output
Total moment = 0.99 μB per formula unit
E above lowest polymorph = 0 meV per atom
Space-group type = Cm
Energy relative to the elements, uncorrected = -0.12 eV/atom

```
K2RhCl
1.0
5.846 -1.667 0.000
5.846 1.667 0.000
-1.117 0.000 5.287
K Rh Cl
2 1 1
Direct
0.000 0.000 0.000
0.727 0.727 0.575
0.445 0.445 0.452
0.280 0.280 0.109
```

***

# 9
# CaAlHg2

An optimized crystal structure of CaAlHg2 (PBEsol, Alexandria).

Output
Total moment = 0.00 μB per formula unit
Energy relative to the elements = -0.35 eV/atom
Space-group type = R-3m

```
CaAlHg2
1.0
2.274 1.313 5.192
-2.274 1.313 5.192
0.000 -2.626 5.192
Ca Al Hg
1 1 2
Direct
0.000 0.000 0.000
0.500 0.500 0.500
0.225 0.225 0.225
0.775 0.775 0.775
```

***

# 10
# MgZnAs2

An optimized crystal structure of MgZnAs2 (PBEsol, Alexandria).

Output
Total moment = 0.00 μB per formula unit
E above lowest polymorph = 58 meV per atom
Energy relative to the elements = -0.04 eV/atom
Space-group type = Immm

```
MgZnAs2
1.0
-1.937 2.409 3.888
1.937 -2.409 3.888
1.937 2.409 -3.888
Mg Zn As
1 1 2
Direct
0.000 0.000 0.000
0.500 0.500 0.000
0.270 0.770 0.500
0.730 0.230 0.500
```

***

# 11
# Sr3ZnPtO6

An optimized crystal structure of Sr3ZnPtO6 (PBEsol, Alexandria).

Output
Total moment = 0.00 μB per formula unit
Space-group type = R-3c
Energy relative to the elements, uncorrected = -2.07 eV/atom

```
Sr3ZnPtO6
1.0
4.769 2.753 3.754
-4.769 2.753 3.754
0.000 -5.506 3.754
Sr Zn Pt O
6 2 2 12
Direct
0.114 0.750 0.386
0.250 0.614 0.886
0.386 0.114 0.750
0.614 0.886 0.250
0.750 0.386 0.114
0.886 0.250 0.614
0.250 0.250 0.250
0.750 0.750 0.750
0.000 0.000 0.000
0.500 0.500 0.500
0.040 0.906 0.713
0.094 0.287 0.960
0.213 0.406 0.540
0.287 0.960 0.094
0.406 0.540 0.213
0.460 0.787 0.594
0.540 0.213 0.406
0.594 0.460 0.787
0.713 0.040 0.906
0.787 0.594 0.460
0.906 0.713 0.040
0.960 0.094 0.287
```

***

# 12
# CoMoC2

An optimized crystal structure of CoMoC2 (PBEsol, Alexandria).

Output
Total moment = 0.00 μB per formula unit
Energy relative to the elements = 0.52 eV/atom
Space-group type = I-42d

```
CoMoC2
1.0
-2.228 2.228 4.397
2.228 -2.228 4.397
2.228 2.228 -4.397
Co Mo C
2 2 4
Direct
0.000 0.000 0.000
0.750 0.250 0.500
0.250 0.750 0.500
0.500 0.500 0.000
0.098 0.625 0.973
0.375 0.348 0.473
0.652 0.125 0.027
0.875 0.902 0.527
```

***

# 13
# MgAl2As

An optimized crystal structure of MgAl2As (PBEsol, Alexandria).

Output
Total moment = 0.00 μB per formula unit
E above lowest polymorph = 80 meV per atom
Energy relative to the elements = 0.10 eV/atom
Space-group type = R-3m

```
MgAl2As
1.0
1.497 0.865 9.377
-1.497 0.865 9.377
0.000 -1.729 9.377
Mg Al As
1 2 1
Direct
0.000 0.000 0.000
0.247 0.247 0.247
0.753 0.753 0.753
0.500 0.500 0.500
```

***

# 14
# CsRbMn3

An optimized crystal structure of CsRbMn3 (PBEsol, Alexandria).

Output
Total moment = 13.37 μB per formula unit
Energy relative to the elements = 2.19 eV/atom
Space-group type = Pm-3m

```
CsRbMn3
1.0
6.199 0.000 0.000
0.000 6.199 0.000
0.000 0.000 6.199
Cs Rb Mn
1 1 3
Direct
0.000 0.000 0.000
0.500 0.500 0.500
0.000 0.000 0.500
0.000 0.500 0.000
0.500 0.000 0.000
```

***

# 15
# K2LaCu

An optimized crystal structure of K2LaCu (PBEsol, Alexandria).

Output
Total moment = 0.00 μB per formula unit
E above lowest polymorph = 0 meV per atom
Energy relative to the elements = 0.22 eV/atom
Space-group type = Pm

```
K2LaCu
1.0
3.796 0.000 0.000
0.000 3.796 0.000
-0.076 0.000 10.975
K La Cu
2 1 1
Direct
0.000 0.000 0.000
0.484 0.500 0.361
0.992 0.000 0.671
0.494 0.500 0.785
```

***

# 16
# Ta2W

An optimized crystal structure of Ta2W (PBEsol, Alexandria).

Output
Total moment = 0.00 μB per formula unit
E above lowest polymorph = 657 meV per atom
Energy relative to the elements = 0.58 eV/atom
Space-group type = I4_1/amd

```
Ta2W
1.0
-1.590 1.590 10.797
1.590 -1.590 10.797
1.590 1.590 -10.797
Ta W
4 2
Direct
0.303 0.553 0.750
0.447 0.697 0.750
0.553 0.303 0.250
0.697 0.447 0.250
0.125 0.875 0.250
0.875 0.125 0.750
```

***

# 17
# K2TcIr

An optimized crystal structure of K2TcIr (PBEsol, Alexandria).

Output
Total moment = 0.00 μB per formula unit
E above lowest polymorph = 0 meV per atom
Energy relative to the elements = 1.14 eV/atom
Space-group type = R-3m

```
K2TcIr
1.0
1.384 0.799 11.416
-1.384 0.799 11.416
0.000 -1.598 11.416
K Tc Ir
2 1 1
Direct
0.247 0.247 0.247
0.753 0.753 0.753
0.000 0.000 0.000
0.500 0.500 0.500
```

***

# 18
# FeTcP2

An optimized crystal structure of FeTcP2 (PBEsol, Alexandria).

Output
Total moment = 0.95 μB per formula unit
E above lowest polymorph = 0 meV per atom
Energy relative to the elements = -0.46 eV/atom
Space-group type = P4mm

```
FeTcP2
1.0
3.031 0.000 0.000
0.000 3.031 0.000
0.000 0.000 5.185
Fe Tc P
1 1 2
Direct
0.000 0.000 0.000
0.500 0.500 0.626
0.000 0.000 0.433
0.500 0.500 0.135
```

***

# 19
# AlCdN2

An optimized crystal structure of AlCdN2 (PBEsol, Alexandria).

Output
Total moment = 0.00 μB per formula unit
E above lowest polymorph = 0 meV per atom
Space-group type = R-3m
Energy relative to the elements, uncorrected = 0.62 eV/atom

```
AlCdN2
1.0
1.708 0.986 5.853
-1.708 0.986 5.853
0.000 -1.972 5.853
Al Cd N
1 1 2
Direct
0.000 0.000 0.000
0.500 0.500 0.500
0.100 0.100 0.100
0.900 0.900 0.900
```

***

# 20
# K2CoF4

An optimized crystal structure of K2CoF4 (PBEsol, Alexandria).

Output
Total moment = 3.00 μB per formula unit
Space-group type = I4/mmm
Energy relative to the elements, uncorrected = -2.33 eV/atom

```
K2CoF4
1.0
-2.003 2.003 6.532
2.003 -2.003 6.532
2.003 2.003 -6.532
K Co F
2 1 4
Direct
0.145 0.145 0.000
0.855 0.855 0.000
0.500 0.500 0.000
0.000 0.500 0.500
0.344 0.344 0.000
0.500 0.000 0.500
0.656 0.656 0.000
```

***

# 21
# CrPt2

An optimized crystal structure of CrPt2 (PBEsol, Alexandria).

Output
Total moment = 2.82 μB per formula unit
Energy relative to the elements = 0.04 eV/atom
Space-group type = P-3m1

```
CrPt2
1.0
4.298 0.000 0.000
-2.149 3.722 0.000
0.000 0.000 2.722
Cr Pt
1 2
Direct
0.000 0.000 0.000
0.333 0.667 0.263
0.667 0.333 0.737
```

***

# 22
# Cd2InMoS

An optimized crystal structure of Cd2InMoS (PBEsol, Alexandria).

Output
Total moment = 0.00 μB per formula unit
Space-group type = P4/mmm
Energy relative to the elements, uncorrected = 0.35 eV/atom

```
Cd2InMoS
1.0
5.345 0.000 0.000
0.000 5.345 0.000
0.000 0.000 4.417
Cd In Mo S
2 1 1 1
Direct
0.000 0.500 0.000
0.500 0.000 0.000
0.000 0.000 0.500
0.500 0.500 0.000
0.500 0.500 0.500
```

***

# 23
# Cs2FeNiC6N6

An optimized crystal structure of Cs2FeNiC6N6 (PBEsol, Alexandria).

Output
Total moment = 2.00 μB per formula unit
Space-group type = Fm-3m
Energy relative to the elements, uncorrected = -0.09 eV/atom

```
Cs2FeNiC6N6
1.0
0.000 5.048 5.048
5.048 0.000 5.048
5.048 5.048 0.000
Cs Fe Ni C N
2 1 1 6 6
Direct
0.250 0.250 0.250
0.750 0.750 0.750
0.000 0.000 0.000
0.500 0.500 0.500
0.184 0.184 0.816
0.184 0.816 0.184
0.184 0.816 0.816
0.816 0.184 0.184
0.816 0.184 0.816
0.816 0.816 0.184
0.301 0.301 0.699
0.301 0.699 0.301
0.301 0.699 0.699
0.699 0.301 0.301
0.699 0.301 0.699
0.699 0.699 0.301
```

***

# 24
# Y2AsBr

An optimized crystal structure of Y2AsBr (PBEsol, Alexandria).

Output
Total moment = 0.00 μB per formula unit
Space-group type = P4/mmm
Energy relative to the elements, uncorrected = -1.33 eV/atom

```
Y2AsBr
1.0
4.047 0.000 0.000
0.000 4.047 0.000
0.000 0.000 5.712
Y As Br
2 1 1
Direct
0.000 0.000 0.000
0.500 0.500 0.500
0.000 0.000 0.500
0.500 0.500 0.000
```

***

# 25
# Y3TlNi

An optimized crystal structure of Y3TlNi (PBEsol, Alexandria).

Output
Total moment = 0.00 μB per formula unit
Energy relative to the elements = 0.87 eV/atom
Space-group type = Pm-3m

```
Y3TlNi
1.0
5.570 0.000 0.000
0.000 5.570 0.000
0.000 0.000 5.570
Y Tl Ni
3 1 1
Direct
0.000 0.000 0.500
0.000 0.500 0.000
0.500 0.000 0.000
0.000 0.000 0.000
0.500 0.500 0.500
```

***

# 26
# Be3In

An optimized crystal structure of Be3In (PBEsol, Alexandria).

Output
Total moment = 0.00 μB per formula unit
E above lowest polymorph = 971 meV per atom
Energy relative to the elements = 1.50 eV/atom
Space-group type = Pm-3m

```
Be3In
1.0
4.546 0.000 0.000
0.000 4.546 0.000
0.000 0.000 4.546
Be In
3 1
Direct
0.000 0.000 0.500
0.000 0.500 0.000
0.500 0.000 0.000
0.000 0.000 0.000
```

***

# 27
# SrMoSe

An optimized crystal structure of SrMoSe (PBEsol, Alexandria).

Output
Total moment = 3.91 μB per formula unit
Space-group type = F-43m
Energy relative to the elements, uncorrected = 0.69 eV/atom

```
SrMoSe
1.0
0.000 3.359 3.359
3.359 0.000 3.359
3.359 3.359 0.000
Sr Mo Se
1 1 1
Direct
0.000 0.000 0.000
0.750 0.750 0.750
0.500 0.500 0.500
```